[1]
This record from Alexandria via LeMat-Bulk describes a relaxed Ca6TlIn crystal. The functional is PBE.

Computed properties:
Energy relative to the elements, eV per atom: -0.0643
Energy above the lowest structure with this stoichiometry, meV/atom: 171.3
M_tot, Bohr magnetons per cell: 0.00
V, Å³ per cell: 336.19

Lattice parameters (Å, degrees): 7.312 7.318 8.379 64.26 64.30 60.07
Element x y z (fractional)
Ca (0.067, 0.432, 0.749)
Ca (0.432, 0.751, 0.750)
Ca (0.249, 0.934, 0.251)
Ca (0.568, 0.249, 0.250)
Ca (0.751, 0.066, 0.749)
Ca (0.933, 0.568, 0.251)
Tl (0.000, 0.000, 0.000)
In (0.500, 0.500, 0.500)

[2]
This record from Alexandria via LeMat-Bulk describes a relaxed Ca6Tl2In crystal. The functional is PBE.

Computed properties:
Energy relative to the elements, eV per atom: -0.3058
M_tot, Bohr magnetons per cell: 0.00
V, Å³ per cell: 610.17

Lattice parameters (Å, degrees): 9.264 9.264 9.264 105.76 111.38 111.34
Element x y z (fractional)
Tl (0.500, 0.638, 0.138)
Tl (0.500, 0.362, 0.862)
Tl (0.661, 0.000, 0.661)
Tl (0.339, 0.000, 0.339)
Ca (0.192, 0.749, 0.941)
Ca (0.714, 0.050, 0.336)
Ca (0.451, 0.274, 0.177)
Ca (0.549, 0.726, 0.823)
Ca (0.097, 0.274, 0.823)
Ca (0.714, 0.378, 0.664)
Ca (0.808, 0.251, 0.059)
Ca (0.286, 0.622, 0.336)
Ca (0.192, 0.251, 0.443)
Ca (0.286, 0.950, 0.664)
Ca (0.903, 0.726, 0.177)
Ca (0.808, 0.749, 0.557)
In (0.000, 0.500, 0.500)
In (0.000, 0.000, 0.000)

[3]
This record from Alexandria via LeMat-Bulk describes a relaxed CaTlIn2 crystal. The functional is PBE.

Computed properties:
Energy relative to the elements, eV per atom: -0.1050
M_tot, Bohr magnetons per cell: 0.00
V, Å³ per cell: 117.73

Lattice parameters (Å, degrees): 10.410 10.410 10.410 20.20 20.20 20.20
Element x y z (fractional)
Ca (0.749, 0.749, 0.749)
Tl (0.501, 0.501, 0.501)
In (0.251, 0.251, 0.251)
In (0.999, 0.999, 0.999)

[4]
This record from Alexandria via LeMat-Bulk describes a relaxed Ca8Tl2In crystal. The functional is PBE.

Computed properties:
Energy relative to the elements, eV per atom: -0.2393
Energy above the lowest structure with this stoichiometry, meV/atom: 28.4
M_tot, Bohr magnetons per cell: 0.00
V, Å³ per cell: 389.90

Lattice parameters (Å, degrees): 5.850 8.734 8.734 113.44 99.64 99.64
Element x y z (fractional)
Ca (0.500, 0.771, 0.229)
Ca (0.500, 0.229, 0.771)
Ca (0.088, 0.070, 0.320)
Ca (0.311, 0.629, 0.629)
Ca (0.912, 0.930, 0.680)
Ca (0.912, 0.680, 0.930)
Ca (0.689, 0.371, 0.371)
Ca (0.088, 0.320, 0.070)
Tl (0.000, 0.316, 0.684)
Tl (0.000, 0.684, 0.316)
In (0.500, 0.000, 0.000)

[5]
This record from Alexandria via LeMat-Bulk describes a relaxed Ca8TlIn2 crystal. The functional is PBE.

Computed properties:
Energy relative to the elements, eV per atom: -0.2814
M_tot, Bohr magnetons per cell: 0.00
V, Å³ per cell: 365.67

Lattice parameters (Å, degrees): 5.554 7.854 9.665 113.97 106.70 90.00
Element x y z (fractional)
Ca (0.648, 0.880, 0.296)
Ca (0.000, 0.730, 0.000)
Ca (0.648, 0.416, 0.296)
Ca (0.352, 0.120, 0.704)
Ca (0.177, 0.177, 0.354)
Ca (0.000, 0.270, 0.000)
Ca (0.352, 0.584, 0.704)
Ca (0.823, 0.823, 0.646)
Tl (0.500, 0.000, 0.000)
In (0.184, 0.684, 0.368)
In (0.816, 0.316, 0.632)

[6]
This record from Alexandria via LeMat-Bulk describes a relaxed CaTlIn crystal. The functional is PBE.

Computed properties:
Energy relative to the elements, eV per atom: -0.3139
M_tot, Bohr magnetons per cell: 0.00
V, Å³ per cell: 86.02

Lattice parameters (Å, degrees): 5.101 5.101 3.818 90.00 90.00 120.00
Element x y z (fractional)
Tl (0.333, 0.667, 0.601)
In (0.667, 0.333, 0.410)
Ca (0.000, 0.000, 0.990)

[7]
This record from Alexandria via LeMat-Bulk describes a relaxed Ca4Tl2In crystal. The functional is PBE.

Computed properties:
Energy relative to the elements, eV per atom: -0.3566
M_tot, Bohr magnetons per cell: 0.00
V, Å³ per cell: 225.62

Lattice parameters (Å, degrees): 5.413 5.413 9.426 73.31 73.31 60.00
Element x y z (fractional)
Ca (0.623, 0.623, 0.131)
Ca (0.126, 0.126, 0.622)
Ca (0.874, 0.874, 0.378)
Ca (0.377, 0.377, 0.869)
Tl (0.749, 0.749, 0.753)
Tl (0.251, 0.251, 0.247)
In (0.000, 0.000, 0.000)

[8]
This record from Alexandria via LeMat-Bulk describes a relaxed CaTl6In crystal. The functional is PBE.

Computed properties:
Energy relative to the elements, eV per atom: -0.0976
Energy above the lowest structure with this stoichiometry, meV/atom: 0.0
M_tot, Bohr magnetons per cell: 0.00
V, Å³ per cell: 234.66

Lattice parameters (Å, degrees): 4.479 7.239 7.239 90.00 90.00 90.00
Element x y z (fractional)
Tl (0.000, 0.743, 0.743)
Tl (0.500, 0.000, 0.500)
Tl (0.000, 0.257, 0.743)
Tl (0.000, 0.743, 0.257)
Tl (0.000, 0.257, 0.257)
Tl (0.500, 0.500, 0.000)
In (0.500, 0.500, 0.500)
Ca (0.500, 0.000, 0.000)

[9]
This record from Alexandria via LeMat-Bulk describes a relaxed CaTlIn crystal. The functional is PBE.

Computed properties:
Energy relative to the elements, eV per atom: -0.2987
M_tot, Bohr magnetons per cell: 0.00
V, Å³ per cell: 338.03

Lattice parameters (Å, degrees): 9.476 6.514 5.476 90.00 90.00 90.00
Element x y z (fractional)
In (0.500, 0.000, 0.500)
In (0.500, 0.500, 0.500)
In (0.000, 0.000, 0.000)
In (0.000, 0.500, 0.000)
Ca (0.167, 0.250, 0.500)
Ca (0.667, 0.250, 0.000)
Ca (0.833, 0.750, 0.500)
Ca (0.333, 0.750, 0.000)
Tl (0.166, 0.750, 0.500)
Tl (0.666, 0.750, 0.000)
Tl (0.834, 0.250, 0.500)
Tl (0.334, 0.250, 0.000)

[10]
This record from Alexandria via LeMat-Bulk describes a relaxed Ca2Tl2In crystal. The functional is PBE.

Computed properties:
Energy relative to the elements, eV per atom: -0.3176
Energy above the lowest structure with this stoichiometry, meV/atom: 0.0
M_tot, Bohr magnetons per cell: 0.00
V, Å³ per cell: 596.64

Lattice parameters (Å, degrees): 8.518 8.518 8.222 90.00 90.00 90.00
Element x y z (fractional)
Ca (0.164, 0.672, 0.000)
Ca (0.664, 0.828, 0.500)
Ca (0.828, 0.336, 0.500)
Ca (0.172, 0.664, 0.500)
Ca (0.328, 0.164, 0.000)
Ca (0.672, 0.836, 0.000)
Ca (0.836, 0.328, 0.000)
Ca (0.336, 0.172, 0.500)
In (0.500, 0.500, 0.801)
In (0.000, 0.000, 0.699)
In (0.500, 0.500, 0.199)
In (0.000, 0.000, 0.301)
Tl (0.866, 0.634, 0.250)
Tl (0.366, 0.866, 0.250)
Tl (0.634, 0.134, 0.750)
Tl (0.134, 0.366, 0.250)
Tl (0.366, 0.866, 0.750)
Tl (0.634, 0.134, 0.250)
Tl (0.134, 0.366, 0.750)
Tl (0.866, 0.634, 0.750)

[11]
This record from Alexandria via LeMat-Bulk describes a relaxed CaTlIn2 crystal. The functional is PBE.

Computed properties:
Energy relative to the elements, eV per atom: -0.0857
M_tot, Bohr magnetons per cell: 0.00
V, Å³ per cell: 128.84

Lattice parameters (Å, degrees): 4.562 4.562 7.620 72.58 72.58 60.00
Element x y z (fractional)
In (0.094, 0.094, 0.717)
In (0.239, 0.239, 0.283)
Ca (0.669, 0.669, 0.993)
Tl (0.498, 0.498, 0.506)

[12]
This record from Alexandria via LeMat-Bulk describes a relaxed CaTlIn2 crystal. The functional is PBE.

Computed properties:
Energy relative to the elements, eV per atom: -0.2413
M_tot, Bohr magnetons per cell: 0.00
V, Å³ per cell: 113.73

Lattice parameters (Å, degrees): 5.348 3.729 5.703 89.99 90.00 90.00
Element x y z (fractional)
In (0.000, 0.125, 0.961)
In (0.500, 0.125, 0.295)
Tl (0.000, 0.625, 0.442)
Ca (0.500, 0.625, 0.802)

[13]
This record from Alexandria via LeMat-Bulk describes a relaxed CaTl4In15 crystal. The functional is PBE.

Computed properties:
Energy relative to the elements, eV per atom: -0.0218
M_tot, Bohr magnetons per cell: 0.00
V, Å³ per cell: 555.93

Lattice parameters (Å, degrees): 4.588 4.588 26.412 90.00 90.00 90.00
Element x y z (fractional)
In (0.500, 0.500, 0.807)
In (0.500, 0.500, 0.193)
In (0.000, 0.500, 0.904)
In (0.000, 0.500, 0.096)
In (0.000, 0.500, 0.702)
In (0.500, 0.000, 0.500)
In (0.500, 0.500, 0.599)
In (0.500, 0.000, 0.702)
In (0.500, 0.500, 0.401)
In (0.500, 0.000, 0.096)
In (0.000, 0.500, 0.500)
In (0.500, 0.500, 0.000)
In (0.500, 0.000, 0.904)
In (0.000, 0.500, 0.298)
In (0.500, 0.000, 0.298)
Tl (0.000, 0.000, 0.805)
Tl (0.000, 0.000, 0.195)
Tl (0.000, 0.000, 0.398)
Tl (0.000, 0.000, 0.602)
Ca (0.000, 0.000, 0.000)

[14]
This record from Alexandria via LeMat-Bulk describes a relaxed Ca2Tl2In crystal. The functional is PBE.

Computed properties:
Energy relative to the elements, eV per atom: 0.0080
Energy above the lowest structure with this stoichiometry, meV/atom: 325.6
M_tot, Bohr magnetons per cell: 0.00
V, Å³ per cell: 169.11

Lattice parameters (Å, degrees): 5.020 5.020 7.592 70.69 70.69 90.00
Element x y z (fractional)
Tl (0.397, 0.397, 0.206)
Tl (0.603, 0.603, 0.794)
Ca (0.250, 0.750, 0.500)
Ca (0.750, 0.250, 0.500)
In (0.000, 0.000, 0.000)

[15]
This record from Alexandria via LeMat-Bulk describes a relaxed CaTl12In6 crystal. The functional is PBE.

Computed properties:
Energy relative to the elements, eV per atom: 0.0014
Energy above the lowest structure with this stoichiometry, meV/atom: 15.0
M_tot, Bohr magnetons per cell: 0.00
V, Å³ per cell: 581.42

Lattice parameters (Å, degrees): 8.840 8.840 8.840 106.60 106.60 106.60
Element x y z (fractional)
In (0.403, 0.128, 0.274)
In (0.872, 0.726, 0.597)
In (0.128, 0.274, 0.403)
In (0.274, 0.403, 0.128)
In (0.597, 0.872, 0.726)
In (0.726, 0.597, 0.872)
Tl (0.149, 0.694, 0.040)
Tl (0.807, 0.344, 0.556)
Tl (0.344, 0.556, 0.807)
Tl (0.851, 0.306, 0.960)
Tl (0.656, 0.444, 0.193)
Tl (0.193, 0.656, 0.444)
Tl (0.694, 0.040, 0.149)
Tl (0.556, 0.807, 0.344)
Tl (0.960, 0.851, 0.306)
Tl (0.444, 0.193, 0.656)
Tl (0.306, 0.960, 0.851)
Tl (0.040, 0.149, 0.694)
Ca (0.000, 0.000, 0.000)

[16]
This record from Alexandria via LeMat-Bulk describes a relaxed CaTl14In crystal. The functional is PBE.

Computed properties:
Energy relative to the elements, eV per atom: -0.0532
M_tot, Bohr magnetons per cell: 0.00
V, Å³ per cell: 481.87

Lattice parameters (Å, degrees): 6.984 6.984 11.321 90.00 90.00 119.24
Element x y z (fractional)
In (0.084, 0.916, 0.500)
Tl (0.914, 0.086, 0.744)
Tl (0.410, 0.081, 0.253)
Tl (0.415, 0.585, 0.752)
Tl (0.914, 0.086, 0.256)
Tl (0.086, 0.914, 0.000)
Tl (0.586, 0.915, 0.000)
Tl (0.410, 0.081, 0.747)
Tl (0.919, 0.590, 0.747)
Tl (0.588, 0.412, 0.000)
Tl (0.091, 0.420, 0.500)
Tl (0.085, 0.414, 0.000)
Tl (0.580, 0.909, 0.500)
Tl (0.919, 0.590, 0.253)
Tl (0.415, 0.585, 0.248)
Ca (0.586, 0.414, 0.500)

[17]
This record from Alexandria via LeMat-Bulk describes a relaxed Ca6TlIn5 crystal. The functional is PBE.

Computed properties:
Energy relative to the elements, eV per atom: -0.4644
M_tot, Bohr magnetons per cell: 0.00
V, Å³ per cell: 345.72

Lattice parameters (Å, degrees): 5.454 7.722 8.630 90.00 108.00 90.00
Element x y z (fractional)
Tl (0.000, 0.000, 0.000)
In (0.000, 0.500, 0.000)
In (0.664, 0.500, 0.333)
In (0.335, 0.000, 0.664)
In (0.336, 0.500, 0.667)
In (0.665, 0.000, 0.336)
Ca (0.835, 0.749, 0.667)
Ca (0.835, 0.251, 0.667)
Ca (0.165, 0.251, 0.333)
Ca (0.500, 0.250, 0.000)
Ca (0.500, 0.750, 0.000)
Ca (0.165, 0.749, 0.333)

[18]
This record from Alexandria via LeMat-Bulk describes a relaxed CaTlIn2 crystal. The functional is PBE.

Computed properties:
Energy relative to the elements, eV per atom: -0.2119
M_tot, Bohr magnetons per cell: 0.00
V, Å³ per cell: 112.71

Lattice parameters (Å, degrees): 5.422 5.422 5.422 60.00 60.00 60.00
Element x y z (fractional)
In (0.000, 0.000, 0.000)
In (0.250, 0.250, 0.250)
Ca (0.500, 0.500, 0.500)
Tl (0.750, 0.750, 0.750)

[19]
This record from Alexandria via LeMat-Bulk describes a relaxed Ca2Tl2In crystal. The functional is PBE.

Computed properties:
Energy relative to the elements, eV per atom: -0.3106
Energy above the lowest structure with this stoichiometry, meV/atom: 7.0
M_tot, Bohr magnetons per cell: 0.00
V, Å³ per cell: 298.33

Lattice parameters (Å, degrees): 8.405 8.405 4.223 90.00 90.00 90.00
Element x y z (fractional)
Ca (0.331, 0.169, 0.500)
Ca (0.169, 0.669, 0.500)
Ca (0.669, 0.831, 0.500)
Ca (0.831, 0.331, 0.500)
Tl (0.133, 0.367, 0.000)
Tl (0.367, 0.867, 0.000)
Tl (0.633, 0.133, 0.000)
Tl (0.867, 0.633, 0.000)
In (0.500, 0.500, 0.000)
In (0.000, 0.000, 0.000)

[20]
This record from Alexandria via LeMat-Bulk describes a relaxed CaTlIn crystal. The functional is PBE.

Computed properties:
Energy relative to the elements, eV per atom: -0.3140
M_tot, Bohr magnetons per cell: 0.00
V, Å³ per cell: 172.62

Lattice parameters (Å, degrees): 6.384 6.426 5.055 113.22 113.33 88.95
Element x y z (fractional)
In (0.996, 0.769, 0.901)
In (0.416, 0.197, 0.325)
Ca (0.887, 0.377, 0.150)
Ca (0.430, 0.824, 0.646)
Tl (0.356, 0.461, 0.927)
Tl (0.874, 0.001, 0.455)

[21]
This record from Alexandria via LeMat-Bulk describes a relaxed CaTlIn2 crystal. The functional is PBE.

Computed properties:
Energy relative to the elements, eV per atom: -0.2511
M_tot, Bohr magnetons per cell: 0.00
V, Å³ per cell: 110.62

Lattice parameters (Å, degrees): 5.937 5.937 5.937 132.86 132.72 68.99
Element x y z (fractional)
Tl (0.500, 0.500, 0.000)
Ca (0.250, 0.750, 0.500)
In (0.750, 0.250, 0.500)
In (0.000, 0.000, 0.000)

[22]
This record from Alexandria via LeMat-Bulk describes a relaxed CaTl6In3 crystal. The functional is PBE.

Computed properties:
Energy relative to the elements, eV per atom: -0.0653
M_tot, Bohr magnetons per cell: 0.00
V, Å³ per cell: 589.20

Lattice parameters (Å, degrees): 6.261 11.301 11.301 132.53 90.00 90.00
Element x y z (fractional)
Ca (0.532, 0.845, 0.155)
Ca (0.032, 0.155, 0.845)
Tl (0.038, 0.757, 0.620)
Tl (0.538, 0.243, 0.380)
Tl (0.838, 0.550, 0.094)
Tl (0.038, 0.380, 0.243)
Tl (0.776, 0.001, 0.999)
Tl (0.838, 0.906, 0.450)
Tl (0.538, 0.620, 0.757)
Tl (0.276, 0.999, 0.001)
Tl (0.338, 0.450, 0.906)
Tl (0.338, 0.094, 0.550)
Tl (0.303, 0.693, 0.307)
Tl (0.803, 0.307, 0.693)
In (0.575, 0.561, 0.439)
In (0.524, 0.300, 0.060)
In (0.075, 0.439, 0.561)
In (0.524, 0.940, 0.700)
In (0.024, 0.700, 0.940)
In (0.024, 0.060, 0.300)